DFT (PBE) results for HoHf2N after structural relaxation.

Properties
* total magnetic moment: 0.00 μB per formula unit
* ΔE_f (raw): -2.6 eV per formula unit
* crystal system: trigonal

Unit cell a=3.2220 b=3.2220 c=26.3648 alpha=90.00 beta=90.00 gamma=120.00
Closest atoms and distances in Å follow each position.
Sites, in units of the cell vectors:
Ho 0.0000 0.0000 0.0000  2 Hf 3.16, 6 Ho 3.22
Ho 0.3333 0.6667 0.6667  2 Hf 3.16, 6 Ho 3.22
Ho 0.6667 0.3333 0.3333  2 Hf 3.16, 6 Ho 3.22
Hf 0.0000 0.0000 0.1197  3 N 2.23
Hf 0.0000 0.0000 0.8803  3 N 2.23
Hf 0.3333 0.6667 0.5469  3 N 2.23
Hf 0.3333 0.6667 0.7864  3 N 2.23
Hf 0.6667 0.3333 0.2136  3 N 2.23
Hf 0.6667 0.3333 0.4531  3 N 2.23
N 0.0000 0.0000 0.5000  6 Hf 2.23
N 0.3333 0.6667 0.1667  6 Hf 2.23
N 0.6667 0.3333 0.8333  6 Hf 2.23